[1]
Density functional theory data (PBE-GGA) for a geometry-optimized LaNdSi2Ni4 structure.

Calculated total energy   -6.00 eV/atom
Calculated density   6.91 g/cm³

Structure (CIF):
```
data_LaNdSi2Ni4
_symmetry_space_group_name_H-M 'P 1'
_symmetry_Int_Tables_number 1
_cell_length_a 4.024
_cell_length_b 4.024
_cell_length_c 9.840
_cell_angle_alpha 90.00
_cell_angle_beta 90.00
_cell_angle_gamma 120.00
loop_
_symmetry_equiv_pos_as_xyz
'x,y,z'
loop_
_atom_site_label
_atom_site_fract_x
_atom_site_fract_y
_atom_site_fract_z
La1 0.000 0.000 0.000
Nd1 0.333 0.667 0.500
Si1 0.667 0.333 0.254
Si2 0.667 0.333 0.746
Ni1 0.000 0.000 0.299
Ni2 0.000 0.000 0.701
Ni3 0.333 0.667 0.206
Ni4 0.333 0.667 0.794
```

[2]
Density functional theory data (PBE-GGA) for a geometry-optimized ZnSbNO structure.

Calculated total energy   -4.98 eV/atom
Calculated density   6.32 g/cm³

Structure (CIF):
```
data_ZnSbNO
_symmetry_space_group_name_H-M 'P 1'
_symmetry_Int_Tables_number 1
_cell_length_a 3.581
_cell_length_b 5.439
_cell_length_c 5.855
_cell_angle_alpha 90.00
_cell_angle_beta 90.00
_cell_angle_gamma 90.00
loop_
_symmetry_equiv_pos_as_xyz
'x,y,z'
loop_
_atom_site_label
_atom_site_fract_x
_atom_site_fract_y
_atom_site_fract_z
Zn1 0.000 0.217 0.000
Zn2 0.000 0.783 0.500
Sb1 0.500 0.268 0.463
Sb2 0.500 0.732 0.963
N1 0.500 0.379 0.085
N2 0.500 0.621 0.585
O1 0.000 0.144 0.660
O2 0.000 0.856 0.160
```

[3]
Density functional theory data (PBE-GGA) for a geometry-optimized KErAlSe3 structure.

Calculated total energy   -4.56 eV/atom
Calculated density   4.55 g/cm³

Structure (CIF):
```
data_KErAlSe3
_symmetry_space_group_name_H-M 'P 1'
_symmetry_Int_Tables_number 1
_cell_length_a 7.668
_cell_length_b 7.668
_cell_length_c 10.899
_cell_angle_alpha 90.00
_cell_angle_beta 90.00
_cell_angle_gamma 147.61
loop_
_symmetry_equiv_pos_as_xyz
'x,y,z'
loop_
_atom_site_label
_atom_site_fract_x
_atom_site_fract_y
_atom_site_fract_z
K1 0.244 0.756 0.750
K2 0.756 0.244 0.250
Er1 0.500 0.500 0.000
Er2 0.500 0.500 0.500
Al1 0.028 0.972 0.250
Al2 0.972 0.028 0.750
Se1 0.126 0.874 0.070
Se2 0.126 0.874 0.430
Se3 0.439 0.561 0.250
Se4 0.561 0.439 0.750
Se5 0.874 0.126 0.570
Se6 0.874 0.126 0.930
```

- Number 3 is which compound?
  KErAlSe3

- Among the records above, which one has the lowest calculated total energy?
  LaNdSi2Ni4

- Which of these has the lowest calculated density?
  KErAlSe3